! NaIr2Ru, optimized geometry, DFT GGA-PBEsol; values from VASP
&SYSTEM
  ibrav = 0, nat = 4, ntyp = 3
/
ATOMIC_SPECIES
Na 22.99 Na.upf
Ir 192.22 Ir.upf
Ru 101.07 Ru.upf
CELL_PARAMETERS angstrom
0.0000 3.0654 3.0654
3.0654 0.0000 3.0654
3.0654 3.0654 0.0000
ATOMIC_POSITIONS crystal
Na 0.0000 0.0000 0.0000
Ir 0.2500 0.2500 0.2500
Ir 0.7500 0.7500 0.7500
Ru 0.5000 0.5000 0.5000
! - mass density (g/cm3) = 14.658
! - formation energy from the elements (eV per atom) = 0.776
! - magnetization (μB/f.u.) = 1.42